# 1
Compound: CuHRh
Source: Alexandria via LeMat-Bulk
Functional: PBE
Structure: relaxed

Lattice parameters (Å, degrees): 2.8977 4.5039 4.9234 106.85 107.18 89.96
Last column: nearest neighbours and their distance in Å.
Fractional coordinates of all 6 atoms:
Cu (0.8727, 0.6551, 0.2461)  1 H 1.92
Cu (0.1273, 0.3449, 0.7539)  1 H 1.92
H (0.2247, 0.7864, 0.9490)  3 Rh 1.83-1.89, 1 Cu 1.92
H (0.7753, 0.2136, 0.0510)  3 Rh 1.83-1.89, 1 Cu 1.92
Rh (0.6154, 0.8378, 0.7312)  3 H 1.83-1.89
Rh (0.3846, 0.1622, 0.2688)  3 H 1.83-1.89

- VASP energy (eV/atom) = -4.895


# 2
Compound: CaPmBiAs
Source: Alexandria via LeMat-Bulk
Functional: PBE
Structure: relaxed

Lattice parameters (Å, degrees): 5.4104 5.4104 5.4104 60.00 60.00 60.00
Last column: nearest neighbours and their distance in Å.
Fractional coordinates of all 4 atoms:
As (0.0000, 0.0000, 0.0000)  4 Ca 3.31, 4 Pm 3.31
Ca (0.2500, 0.2500, 0.2500)  4 Bi 3.31, 4 As 3.31
Bi (0.5000, 0.5000, 0.5000)  4 Ca 3.31, 4 Pm 3.31
Pm (0.7500, 0.7500, 0.7500)  4 As 3.31, 4 Bi 3.31

- formation energy from the elements (eV/atom) = -0.767


# 3
Compound: BaAl6Ir3
Source: Alexandria via LeMat-Bulk
Functional: PBE
Structure: relaxed

Lattice parameters (Å, degrees): 6.6671 7.1878 8.2714 113.81 90.00 90.00
Last column: nearest neighbours and their distance in Å.
Fractional coordinates of all 20 atoms:
Ba (0.5000, 0.5000, 0.5000)  2 Ir 2.99, 6 Al 3.22-3.34
Ba (0.0000, 0.0000, 0.0000)  2 Ir 2.99, 6 Al 3.22-3.34
Al (0.1699, 0.9241, 0.5982)  2 Ir 2.37-2.48, 1 Al 2.66
Al (0.0173, 0.5434, 0.6826)  4 Ir 2.65-2.86, 3 Al 2.72-2.89
Al (0.2961, 0.3092, 0.7514)  4 Ir 2.60-2.78, 3 Al 2.66-2.72
Al (0.7039, 0.6908, 0.2486)  4 Ir 2.60-2.78, 3 Al 2.66-2.72
Al (0.9827, 0.4566, 0.3174)  4 Ir 2.65-2.86, 3 Al 2.72-2.89
Al (0.8301, 0.0759, 0.4018)  2 Ir 2.37-2.48, 1 Al 2.66
Al (0.3301, 0.4241, 0.0982)  2 Ir 2.37-2.48, 1 Al 2.66
Al (0.4827, 0.0434, 0.1826)  4 Ir 2.65-2.86, 3 Al 2.72-2.89
Al (0.2039, 0.8092, 0.2514)  4 Ir 2.60-2.78, 3 Al 2.66-2.72
Al (0.7961, 0.1908, 0.7486)  4 Ir 2.60-2.78, 3 Al 2.66-2.72
Al (0.5173, 0.9566, 0.8174)  4 Ir 2.65-2.86, 3 Al 2.72-2.89
Al (0.6699, 0.5759, 0.9018)  2 Ir 2.37-2.48, 1 Al 2.66
Ir (0.8374, 0.7963, 0.5685)  4 Al 2.37-2.65
Ir (0.5000, 0.0000, 0.5000)  6 Al 2.48-2.77
Ir (0.1626, 0.2037, 0.4315)  4 Al 2.37-2.65
Ir (0.6626, 0.2963, 0.0685)  4 Al 2.37-2.65
Ir (0.0000, 0.5000, 0.0000)  6 Al 2.48-2.77
Ir (0.3374, 0.7037, 0.9315)  4 Al 2.37-2.65

- formation energy from the elements (eV/atom) = -0.495


# 4
Compound: Pa2AgAs2N2
Source: Alexandria via LeMat-Bulk
Functional: PBE
Structure: relaxed

Lattice parameters (Å, degrees): 3.8887 3.8887 11.7049 90.00 90.00 120.00
Last column: nearest neighbours and their distance in Å.
Fractional coordinates of all 7 atoms:
Pa (0.6667, 0.3333, 0.3741)  4 N 2.32-2.33
Pa (0.3333, 0.6667, 0.6259)  4 N 2.32-2.33
Ag (0.0000, 0.0000, 0.0000)  2 As 2.48
As (0.0000, 0.0000, 0.7883)  1 Ag 2.48
As (0.0000, 0.0000, 0.2117)  1 Ag 2.48
N (0.6667, 0.3333, 0.5724)  4 Pa 2.32-2.33
N (0.3333, 0.6667, 0.4276)  4 Pa 2.32-2.33

- ΔE_f (raw) (kJ per mole of atoms) = -84.92


# 5
Compound: TlHgPb4
Source: Alexandria via LeMat-Bulk
Functional: PBE
Structure: relaxed

Lattice parameters (Å, degrees): 6.5501 6.5501 6.5501 60.00 60.00 60.00
Last column: nearest neighbours and their distance in Å.
Fractional coordinates of all 6 atoms:
Tl (0.7500, 0.7500, 0.7500)  12 Pb 3.84, 4 Hg 4.01
Hg (0.0000, 0.0000, 0.0000)  12 Pb 3.84, 4 Tl 4.01
Pb (0.8749, 0.3750, 0.3750)  6 Pb 3.27-3.28
Pb (0.3750, 0.3750, 0.8749)  6 Pb 3.27-3.28
Pb (0.3750, 0.8749, 0.3750)  6 Pb 3.27-3.28
Pb (0.3750, 0.3750, 0.3750)  6 Pb 3.27-3.28

- formation energy from the elements (eV/atom) = 0.106


# 6
Compound: TlCd2Pb8
Source: Alexandria via LeMat-Bulk
Functional: PBE
Structure: relaxed

Lattice parameters (Å, degrees): 4.9593 8.1015 9.0515 107.96 105.90 90.00
Last column: nearest neighbours and their distance in Å.
Fractional coordinates of all 11 atoms:
Tl (0.5000, 0.0000, 0.0000)  12 Pb 3.45-3.61
Cd (0.2266, 0.6391, 0.4532)  10 Pb 3.31-3.58, 2 Cd 3.62
Cd (0.7734, 0.3609, 0.5468)  10 Pb 3.31-3.58, 2 Cd 3.62
Pb (0.6004, 0.4653, 0.2009)  3 Cd 3.31-3.38, 7 Pb 3.45-3.58, 1 Tl 3.61
Pb (0.3186, 0.0863, 0.6371)  8 Pb 3.41-3.60, 1 Tl 3.45, 3 Cd 3.46-3.58
Pb (0.1454, 0.2027, 0.2909)  3 Cd 3.31-3.36, 6 Pb 3.43-3.60, 2 Tl 3.55
Pb (0.0445, 0.7250, 0.0889)  9 Pb 3.44-3.70, 1 Cd 3.46, 2 Tl 3.58
Pb (0.8546, 0.7973, 0.7091)  3 Cd 3.31-3.36, 6 Pb 3.43-3.60, 2 Tl 3.55
Pb (0.6814, 0.9137, 0.3629)  8 Pb 3.41-3.60, 1 Tl 3.45, 3 Cd 3.46-3.58
Pb (0.3996, 0.5347, 0.7991)  3 Cd 3.31-3.38, 7 Pb 3.45-3.58, 1 Tl 3.61
Pb (0.9555, 0.2750, 0.9111)  9 Pb 3.44-3.70, 1 Cd 3.46, 2 Tl 3.58

- formation energy from the elements (eV/atom) = 0.018


# 7
Compound: AlH12
Source: Alexandria via LeMat-Bulk
Functional: PBE
Structure: relaxed

Lattice parameters (Å, degrees): 6.7645 6.7645 6.7645 60.00 60.00 60.00
Last column: nearest neighbours and their distance in Å.
Fractional coordinates of all 26 atoms:
Al (0.5000, 0.5000, 0.5000)  24 H 2.96-3.05
Al (0.7500, 0.7500, 0.7500)  24 H 2.96-3.05
H (0.8067, 0.2494, 0.8067)  1 H 0.76
H (0.1371, 0.8067, 0.2494)  1 H 0.76
H (0.2494, 0.8067, 0.1371)  1 H 0.76
H (0.8067, 0.8067, 0.2494)  1 H 0.76
H (0.1129, 0.0006, 0.4433)  1 H 0.76
H (0.4433, 0.0006, 0.4433)  1 H 0.76
H (0.8067, 0.1371, 0.8067)  1 H 0.76
H (0.2494, 0.1371, 0.8067)  1 H 0.76
H (0.4433, 0.4433, 0.0006)  1 H 0.76
H (0.1129, 0.4433, 0.0006)  1 H 0.76
H (0.1371, 0.2494, 0.8067)  1 H 0.76
H (0.4433, 0.4433, 0.1129)  1 H 0.76
H (0.0006, 0.4433, 0.1129)  1 H 0.76
H (0.8067, 0.8067, 0.1371)  1 H 0.76
H (0.0006, 0.1129, 0.4433)  1 H 0.76
H (0.4433, 0.1129, 0.4433)  1 H 0.76
H (0.2494, 0.8067, 0.8067)  1 H 0.76
H (0.8067, 0.1371, 0.2494)  1 H 0.76
H (0.1371, 0.8067, 0.8067)  1 H 0.76
H (0.8067, 0.2494, 0.1371)  1 H 0.76
H (0.4433, 0.1129, 0.0006)  1 H 0.76
H (0.0006, 0.4433, 0.4433)  1 H 0.76
H (0.4433, 0.0006, 0.1129)  1 H 0.76
H (0.1129, 0.4433, 0.4433)  1 H 0.76

- VASP energy (eV/atom) = -3.145


# 8
Compound: LaMnPCl2
Source: Alexandria via LeMat-Bulk
Functional: PBE
Structure: relaxed

Lattice parameters (Å, degrees): 4.6655 4.6655 5.0249 90.00 90.00 90.00
Last column: nearest neighbours and their distance in Å.
Fractional coordinates of all 5 atoms:
Cl (0.0000, 0.5000, 0.0000)  2 Mn 2.33
Cl (0.5000, 0.0000, 0.0000)  2 Mn 2.33
Mn (0.0000, 0.0000, 0.0000)  4 Cl 2.33, 2 P 2.51
P (0.0000, 0.0000, 0.5000)  2 Mn 2.51
La (0.5000, 0.5000, 0.5000)  4 P 3.30, 8 Cl 3.43

- ΔE_f (raw) (kJ per mole of atoms) = -90.89


| no. | N(E_F) (states/eV/f.u.) |
| --- | --- |
| 1 | 3.2 |
| 2 | 2.0 |
| 3 | 4.5 |
| 4 | 8.1 |
| 5 | 3.0 |
| 6 | 4.8 |
| 7 | 3.6 |
| 8 | 2.3 |